No. 1
A plane-wave DFT calculation with PBE was carried out for a geometry-optimized Tm2ScTl3 structure.

Computed properties:
Formation energy ... -281.6 meV per atom

```
Tm2ScTl3
1.0
3.585 0.000 0.000
0.000 3.585 0.000
0.000 0.000 11.932
Tl Tm Sc
3 2 1
direct
0.000 0.000 0.000
0.000 0.000 0.657
0.000 0.000 0.343
0.500 0.500 0.171
0.500 0.500 0.829
0.500 0.500 0.500
```


No. 2
A plane-wave DFT calculation with PBE was carried out for a geometry-optimized TeOsNF2 structure.

Computed properties:
Formation energy from raw total energies ... 0.057 eV per atom
Distance to the lowest polymorph of the same formula ... 0 meV per atom

```
TeOsNF2
1.0
4.451 0.000 0.000
0.000 4.451 0.000
0.000 0.000 3.758
F Os N Te
2 1 1 1
direct
0.000 0.500 0.000
0.500 0.000 0.000
0.000 0.000 0.000
0.000 0.000 0.500
0.500 0.500 0.500
```


No. 3
A plane-wave DFT calculation with PBE was carried out for a geometry-optimized CeTi2N structure.

Computed properties:
Formation energy from raw total energies ... -0.767 eV per atom
Distance to the lowest polymorph of the same formula ... 0 meV per atom

```
CeTi2N
1.0
2.998 0.000 0.000
1.499 2.596 0.000
1.499 0.865 8.161
Ce N Ti
1 1 2
direct
0.000 0.000 0.000
0.500 0.500 0.500
0.120 0.120 0.641
0.880 0.880 0.359
```


No. 4
A plane-wave DFT calculation with PBE was carried out for a geometry-optimized CoSb2Mo structure.

Computed properties:
Formation energy from raw total energies ... 0.392 eV per atom

```
CoSb2Mo
1.0
4.471 -0.001 0.010
3.273 3.047 0.010
1.290 0.508 5.306
Mo Co Sb
1 1 2
direct
0.250 0.250 0.250
0.750 0.750 0.750
0.493 0.493 0.509
0.007 0.007 0.991
```


Which total DFT energy (no corrections) belongs to each record? In order, -24.06, -26.15, -33.12, -24.61 eV/cell.